A plane-wave DFT calculation with PBE was carried out for a relaxed structure of BaBe3Br.

Cell lengths 6.3378, 6.3378, 6.3378 Å; angles 90.00, 90.00, 90.00 degrees
Closest atoms and distances in Å follow each position.
Fractional positions:
1 Be 0.0000 0.0000 0.5000  2 Ba 3.17
2 Ba 0.0000 0.0000 0.0000  6 Be 3.17
3 Be 0.5000 0.0000 0.0000  2 Ba 3.17
4 Be 0.0000 0.5000 0.0000  2 Ba 3.17
5 Br 0.5000 0.5000 0.5000  12 Be 4.48

Summary:
Its polymorph energy (0 for the lowest one) is 580 meV/atom. The calculated volume comes out at 255 Å³/cell. The theoretical density is 1.59 g/cm³. For the final energy, the calculation gives -5.905 eV/f.u.

A plane-wave DFT calculation with PBE was carried out for a relaxed structure of Ba4BeBr.

Cell lengths 7.4250, 7.4250, 7.4250 Å; angles 60.00, 60.00, 60.00 degrees
Closest atoms and distances in Å follow each position.
Fractional positions:
1 Ba 0.3753 0.3753 0.8740  6 Ba 3.70-3.72
2 Ba 0.3753 0.3753 0.3753  6 Ba 3.70-3.72
3 Br 0.0000 0.0000 0.0000  12 Ba 4.35, 4 Be 4.55
4 Be 0.7500 0.7500 0.7500  12 Ba 4.35, 4 Br 4.55
5 Ba 0.3753 0.8740 0.3753  6 Ba 3.70-3.72
6 Ba 0.8740 0.3753 0.3753  6 Ba 3.70-3.72

Summary:
The calculated volume comes out at 289 Å³/cell. The theoretical density is 3.66 g/cm³. For the final energy, the calculation gives -10.145 eV/f.u.

Which formula does entry 1 have?
BaBe3Br

Which value of theoretical density does entry 1 give?
1.59 g/cm³